Record 1
A relaxed ZrRu3 crystal. Source: Alexandria, functional PBE-GGA.

The structure in POSCAR format:
```
ZrRu3
1.0
-3.2746 3.4155 0.4709
-1.0547 -2.4554 -3.9331
-1.6492 -1.7968 1.5640
Ru Zr
3 1
Cartesian
0.0000 0.0000 0.0000
-1.3520 -2.1261 -1.1845
-2.4619 0.8094 1.0175
-2.1647 0.4801 -1.7311
```

V   15.62 Å³ per atom
M_tot   0.0 μB/f.u.
Space group   Cmmm, No. 65

Record 2
A relaxed ZrRu crystal. Source: Alexandria, functional PBE-GGA.

The structure in POSCAR format:
```
ZrRu
1.0
1.6801 5.2348 -0.0046
-1.6801 5.2348 -0.0046
0.0000 2.0656 6.1103
Zr Ru
3 3
Cartesian
0.0000 7.7536 0.6643
0.0000 1.0137 2.8048
0.0000 2.2809 5.6728
0.0000 4.3764 1.6941
0.0000 5.3918 4.7845
0.0000 8.4085 3.7089
```

V   17.92 Å³ per atom
M_tot   0.0 μB/f.u.
Space group   Cm, No. 8

Record 3
A relaxed Zr3Ru crystal. Source: Alexandria, functional PBE-GGA.

The structure in POSCAR format:
```
Zr3Ru
1.0
3.9715 0.0000 0.0000
-1.9858 5.4686 -0.0026
0.0000 1.4439 3.6998
Zr Ru
3 1
Cartesian
1.9858 0.7219 1.8499
1.9858 3.8172 2.7735
0.0000 3.0953 0.9236
0.0000 0.0000 0.0000
```

V   20.09 Å³ per atom
M_tot   0.0 μB/f.u.
Space group   I4/mmm, No. 139

Record 4
A relaxed ZrRu4 crystal. Source: Alexandria, functional PBE-GGA.

The structure in POSCAR format:
```
ZrRu4
1.0
4.7090 0.0000 0.0000
0.0000 4.7090 0.0000
0.0000 0.0000 4.7090
Zr Ru
1 4
Cartesian
2.3545 2.3545 2.3545
2.3545 0.0000 2.3545
0.0000 0.0000 0.0000
0.0000 2.3545 2.3545
2.3545 2.3545 0.0000
```

V   20.88 Å³ per atom
Distance to the lowest polymorph of the same formula   1.894 eV per atom
M_tot   5.7 μB/f.u.
Space group   Pm-3m, No. 221

Record 5
A relaxed Zr2Ru3 crystal. Source: Alexandria, functional PBE-GGA.

The structure in POSCAR format:
```
Zr2Ru3
1.0
-3.9042 -2.1122 0.1681
3.3911 -1.7765 -2.2531
1.6264 -2.6455 4.5338
Ru Zr
3 2
Cartesian
0.0000 0.0000 0.0000
-0.3715 -3.7910 2.4299
1.4849 -2.7432 0.0189
2.2724 -4.0242 2.2142
-1.1590 -2.5100 0.2346
```

V   18.78 Å³ per atom
Distance to the lowest polymorph of the same formula   0.324 eV per atom
M_tot   0.0 μB/f.u.
Space group   P-3m1, No. 164

Record 6
A relaxed Zr3Ru crystal. Source: Alexandria, functional PBE-GGA.

The structure in POSCAR format:
```
Zr3Ru
1.0
-2.3919 -0.4840 2.0186
1.7561 -4.4315 2.6746
4.1662 0.7449 3.4589
Zr Ru
3 1
Cartesian
0.8872 0.1305 2.7388
-0.3179 -2.4578 2.3466
2.9612 -1.8433 3.0668
0.0000 0.0000 0.0000
```

V   19.72 Å³ per atom
M_tot   0.0 μB/f.u.
Space group   R-3m, No. 166

Record 7
A relaxed Zr3Ru crystal. Source: Alexandria, functional PBE-GGA.

The structure in POSCAR format:
```
Zr3Ru
1.0
2.9838 -5.1681 0.0000
2.9838 5.1681 0.0000
0.0000 0.0000 5.2506
Ru Zr
2 6
Cartesian
2.9838 1.7227 1.3126
2.9838 -1.7227 3.9379
4.4243 -0.8911 1.3126
2.9838 -3.3860 1.3126
4.4243 0.8911 3.9379
1.5434 0.8911 3.9379
1.5434 -0.8911 1.3126
2.9838 3.3860 3.9379
```

V   20.24 Å³ per atom
M_tot   0.0 μB/f.u.
Space group   P6_3/mmc, No. 194

Record 8
A relaxed Zr3Ru crystal. Source: Alexandria, functional PBE-GGA.

The structure in POSCAR format:
```
Zr3Ru
1.0
-2.7545 -0.2795 1.7725
-1.6642 -0.8075 -2.7177
1.5190 -7.2358 1.2197
Zr Ru
3 1
Cartesian
-1.8798 -2.1132 -0.2080
0.7595 -3.6179 0.6098
-1.0199 -6.2096 0.4825
0.0000 0.0000 0.0000
```

V   20.25 Å³ per atom
M_tot   0.0 μB/f.u.
Space group   P4/mmm, No. 123

Record 9
A relaxed ZrRu3 crystal. Source: Alexandria, functional PBE-GGA.

The structure in POSCAR format:
```
ZrRu3
1.0
-1.3995 1.9601 1.5112
-1.6917 -2.0255 1.0583
4.9632 -1.0394 5.9445
Ru Zr
3 1
Cartesian
2.1768 -0.8123 5.7431
4.8304 -1.0116 5.7854
2.6144 -0.5475 3.1313
-0.3048 -0.2926 2.7709
```

V   15.79 Å³ per atom
M_tot   0.0 μB/f.u.
Space group   P4/mmm, No. 123

Record 10
A relaxed ZrRu crystal. Source: Alexandria, functional PBE-GGA.

The structure in POSCAR format:
```
ZrRu
1.0
3.1697 0.0000 0.0000
-1.5849 2.7451 0.0000
0.0000 0.0000 4.1898
Ru Zr
1 1
Cartesian
0.0000 0.0000 0.0000
0.0000 1.8301 2.0949
```

V   18.23 Å³ per atom
M_tot   0.0 μB/f.u.
Space group   P-6m2, No. 187

Number 1: energy relative to the elements -0.06 eV per atom, density of states at the Fermi level 5.49 states/eV/cell. Number 2: energy relative to the elements -0.29 eV per atom, density of states at the Fermi level 4.58 states/eV/cell. Number 3: energy relative to the elements -0.09 eV per atom, density of states at the Fermi level 3.91 states/eV/cell. Number 4: energy relative to the elements 2.00 eV per atom, density of states at the Fermi level 7.30 states/eV/cell. Number 5: energy relative to the elements 0.08 eV per atom, density of states at the Fermi level 6.25 states/eV/cell. Number 6: energy relative to the elements -0.08 eV per atom, density of states at the Fermi level 5.52 states/eV/cell. Number 7: energy relative to the elements -0.01 eV per atom, density of states at the Fermi level 14.54 states/eV/cell. Number 8: energy relative to the elements -0.30 eV per atom, density of states at the Fermi level 3.65 states/eV/cell. Number 9: energy relative to the elements 0.02 eV per atom, density of states at the Fermi level 4.73 states/eV/cell. Number 10: energy relative to the elements -0.11 eV per atom, density of states at the Fermi level 1.66 states/eV/cell.